VASP calculation (PBE-GGA) on a relaxed CsNdZnTe3 crystal. Values from VASP.

```
&SYSTEM
  ibrav = 0, nat = 12, ntyp = 4
/
ATOMIC_SPECIES
Te 127.60 Te.upf
Zn 65.41 Zn.upf
Nd 144.24 Nd.upf
Cs 132.91 Cs.upf
CELL_PARAMETERS angstrom
-1.420 1.811 3.897
-3.127 -8.380 0.126
10.108 -3.690 5.400
ATOMIC_POSITIONS crystal
Te 0.379 0.758 0.935
Te 0.621 0.242 0.065
Zn 0.536 0.071 0.250
Nd 0.000 0.000 0.500
Te 0.940 0.879 0.250
Nd 0.000 0.000 0.000
Te 0.060 0.121 0.750
Zn 0.464 0.929 0.750
Cs 0.746 0.493 0.750
Cs 0.254 0.507 0.250
Te 0.379 0.758 0.565
Te 0.621 0.242 0.435
```

Results
Raw formation energy (kJ per mole of atoms): -107.22
Magnetic moment (μB/cell): 0.00
Theoretical density (g/cm³): 5.1

VASP calculation (PBE-GGA) on a relaxed CsNdZnTe3 crystal. Values from VASP.

```
&SYSTEM
  ibrav = 0, nat = 12, ntyp = 4
/
ATOMIC_SPECIES
Te 127.60 Te.upf
Zn 65.41 Zn.upf
Nd 144.24 Nd.upf
Cs 132.91 Cs.upf
CELL_PARAMETERS angstrom
-0.646 -3.011 3.323
5.684 -7.036 -5.269
6.364 5.985 6.658
ATOMIC_POSITIONS crystal
Te 0.250 0.111 0.861
Te 0.750 0.474 0.166
Zn 0.750 0.916 0.388
Te 0.250 0.809 0.461
Nd 0.250 0.673 0.138
Te 0.750 0.889 0.139
Cs 0.750 0.783 0.753
Te 0.750 0.191 0.539
Te 0.250 0.526 0.834
Cs 0.250 0.217 0.247
Nd 0.750 0.327 0.862
Zn 0.250 0.084 0.612
```

Results
Raw formation energy (kJ per mole of atoms): -105.39
Magnetic moment (μB/cell): 0.00
Theoretical density (g/cm³): 4.9

VASP calculation (PBE-GGA) on a relaxed Cs4Nd3ZrTe8 crystal. Values from VASP.

```
&SYSTEM
  ibrav = 0, nat = 16, ntyp = 4
/
ATOMIC_SPECIES
Nd 144.24 Nd.upf
Te 127.60 Te.upf
Zr 91.22 Zr.upf
Cs 132.91 Cs.upf
CELL_PARAMETERS angstrom
9.141 0.000 0.000
0.000 10.370 0.866
-4.571 -4.572 6.465
ATOMIC_POSITIONS crystal
Nd 0.500 0.500 0.000
Te 0.779 0.309 0.030
Zr 0.000 0.500 0.000
Te 0.733 0.699 0.466
Cs 0.500 0.000 0.500
Te 0.251 0.309 0.030
Cs 0.500 0.000 0.000
Nd 0.000 0.500 0.500
Te 0.221 0.691 0.970
Te 0.779 0.309 0.558
Nd 0.500 0.500 0.500
Cs 0.000 0.000 0.000
Te 0.749 0.691 0.970
Cs 0.000 0.000 0.500
Te 0.221 0.691 0.442
Te 0.267 0.301 0.534
```

Results
Raw formation energy (kJ per mole of atoms): -123.00
Magnetic moment (μB/cell): 0.70
Theoretical density (g/cm³): 5.3

VASP calculation (PBE-GGA) on a relaxed Cs3Nd3ZrTe8 crystal. Values from VASP.

```
&SYSTEM
  ibrav = 0, nat = 15, ntyp = 4
/
ATOMIC_SPECIES
Te 127.60 Te.upf
Cs 132.91 Cs.upf
Nd 144.24 Nd.upf
Zr 91.22 Zr.upf
CELL_PARAMETERS angstrom
-4.665 -7.733 -0.714
4.679 1.787 7.546
-8.928 5.498 -1.204
ATOMIC_POSITIONS crystal
Te 0.782 0.564 0.314
Cs 0.000 0.500 0.000
Te 0.218 0.968 0.686
Nd 0.000 0.500 0.500
Nd 0.500 0.000 0.500
Cs 0.500 0.500 0.000
Te 0.218 0.436 0.686
Te 0.732 0.465 0.697
Zr 0.000 0.000 0.500
Te 0.782 0.032 0.314
Te 0.268 0.535 0.303
Cs 0.000 0.000 0.000
Te 0.750 0.968 0.686
Nd 0.500 0.500 0.500
Te 0.250 0.032 0.314
```

Results
Raw formation energy (kJ per mole of atoms): -124.60
Magnetic moment (μB/cell): 0.00
Theoretical density (g/cm³): 5.0

VASP calculation (PBE-GGA) on a relaxed CsNi crystal. Values from VASP.

```
&SYSTEM
  ibrav = 0, nat = 32, ntyp = 2
/
ATOMIC_SPECIES
Cs 132.91 Cs.upf
Ni 58.69 Ni.upf
CELL_PARAMETERS angstrom
10.372 0.000 0.000
0.000 16.018 0.000
0.000 0.000 6.541
ATOMIC_POSITIONS crystal
Cs 0.078 0.250 0.250
Ni 0.500 0.930 0.500
Ni 0.000 0.930 0.000
Cs 0.672 0.500 0.500
Ni 0.250 0.680 0.250
Cs 0.172 0.000 0.500
Cs 0.422 0.250 0.250
Cs 0.578 0.250 0.750
Cs 0.328 0.000 0.000
Cs 0.828 0.000 0.500
Ni 0.500 0.070 0.500
Cs 0.922 0.750 0.250
Cs 0.672 0.000 0.000
Ni 0.250 0.320 0.750
Ni 0.500 0.570 0.000
Ni 0.500 0.430 0.000
Cs 0.078 0.750 0.750
Ni 0.750 0.320 0.250
Ni 0.000 0.070 0.000
Ni 0.750 0.180 0.250
Cs 0.422 0.750 0.750
Cs 0.922 0.250 0.750
Cs 0.172 0.500 0.000
Ni 0.750 0.820 0.750
Ni 0.750 0.680 0.750
Ni 0.000 0.570 0.500
Cs 0.578 0.750 0.250
Ni 0.250 0.820 0.250
Ni 0.250 0.180 0.750
Cs 0.828 0.500 0.000
Ni 0.000 0.430 0.500
Cs 0.328 0.500 0.500
```

Results
Formation enthalpy at 0 K (eV per atom): 0.865
Magnetic moment (μB/cell): 9.21
Theoretical density (g/cm³): 4.7

VASP calculation (PBE-GGA) on a relaxed CsNi crystal. Values from VASP.

```
&SYSTEM
  ibrav = 0, nat = 4, ntyp = 2
/
ATOMIC_SPECIES
Ni 58.69 Ni.upf
Cs 132.91 Cs.upf
CELL_PARAMETERS angstrom
6.359 0.000 0.000
-3.180 5.507 0.000
0.000 0.000 7.468
ATOMIC_POSITIONS crystal
Ni 0.333 0.667 0.210
Cs 0.667 0.333 0.208
Ni 0.667 0.333 0.710
Cs 0.333 0.667 0.708
```

Results
Formation enthalpy at 0 K (eV per atom): 1.253
Magnetic moment (μB/cell): 2.00
Theoretical density (g/cm³): 2.4

VASP calculation (PBE-GGA) on a relaxed CsNi crystal. Values from VASP.

```
&SYSTEM
  ibrav = 0, nat = 8, ntyp = 2
/
ATOMIC_SPECIES
Ni 58.69 Ni.upf
Cs 132.91 Cs.upf
CELL_PARAMETERS angstrom
8.267 0.000 0.000
0.000 8.267 0.000
0.000 0.000 8.267
ATOMIC_POSITIONS crystal
Ni 0.250 0.750 0.750
Cs 0.500 0.000 0.500
Cs 0.500 0.500 0.000
Cs 0.000 0.000 0.000
Cs 0.000 0.500 0.500
Ni 0.750 0.250 0.750
Ni 0.750 0.750 0.250
Ni 0.250 0.250 0.250
```

Results
Formation enthalpy at 0 K (eV per atom): 1.325
Magnetic moment (μB/cell): 4.00
Theoretical density (g/cm³): 2.3

VASP calculation (PBE-GGA) on a relaxed CsNi crystal. Values from VASP.

```
&SYSTEM
  ibrav = 0, nat = 12, ntyp = 2
/
ATOMIC_SPECIES
Ni 58.69 Ni.upf
Cs 132.91 Cs.upf
CELL_PARAMETERS angstrom
10.157 0.000 0.000
0.000 10.157 0.000
0.000 0.000 10.157
ATOMIC_POSITIONS crystal
Ni 0.500 0.250 0.000
Cs 0.000 0.250 0.500
Ni 0.500 0.750 0.000
Cs 0.250 0.500 0.000
Cs 0.500 0.000 0.250
Cs 0.750 0.500 0.000
Cs 0.500 0.000 0.750
Ni 0.000 0.500 0.250
Ni 0.250 0.000 0.500
Ni 0.000 0.500 0.750
Cs 0.000 0.750 0.500
Ni 0.750 0.000 0.500
```

Results
Formation enthalpy at 0 K (eV per atom): 1.330
Magnetic moment (μB/cell): 6.00
Theoretical density (g/cm³): 1.8

VASP calculation (PBE-GGA) on a relaxed CsNi crystal. Values from VASP.

```
&SYSTEM
  ibrav = 0, nat = 4, ntyp = 2
/
ATOMIC_SPECIES
Cs 132.91 Cs.upf
Ni 58.69 Ni.upf
CELL_PARAMETERS angstrom
-1.489 2.280 -2.279
-1.350 -2.721 -1.840
-8.753 0.284 6.003
ATOMIC_POSITIONS crystal
Cs 0.500 0.000 0.263
Cs 0.000 0.500 0.737
Ni 0.000 0.000 0.000
Ni 0.500 0.500 0.000
```

Results
Formation enthalpy at 0 K (eV per atom): 0.668
Magnetic moment (μB/cell): 1.20
Theoretical density (g/cm³): 4.8

VASP calculation (PBE-GGA) on a relaxed CsNi crystal. Values from VASP.

```
&SYSTEM
  ibrav = 0, nat = 16, ntyp = 2
/
ATOMIC_SPECIES
Ni 58.69 Ni.upf
Cs 132.91 Cs.upf
CELL_PARAMETERS angstrom
13.459 0.000 0.000
0.000 13.459 0.000
0.000 0.000 3.917
ATOMIC_POSITIONS crystal
Ni 0.918 0.507 0.000
Cs 0.581 0.738 0.500
Cs 0.262 0.581 0.500
Ni 0.993 0.418 0.500
Cs 0.238 0.919 0.000
Ni 0.507 0.082 0.000
Ni 0.418 0.007 0.500
Cs 0.419 0.262 0.500
Cs 0.762 0.081 0.000
Cs 0.081 0.238 0.000
Ni 0.582 0.993 0.500
Ni 0.082 0.493 0.000
Ni 0.493 0.918 0.000
Cs 0.919 0.762 0.000
Cs 0.738 0.419 0.500
Ni 0.007 0.582 0.500
```

Results
Formation enthalpy at 0 K (eV per atom): 0.600
Magnetic moment (μB/cell): 2.78
Theoretical density (g/cm³): 3.6

VASP calculation (PBE-GGA) on a relaxed CsNi crystal. Values from VASP.

```
&SYSTEM
  ibrav = 0, nat = 12, ntyp = 2
/
ATOMIC_SPECIES
Ni 58.69 Ni.upf
Cs 132.91 Cs.upf
CELL_PARAMETERS angstrom
12.264 0.000 0.000
-6.132 10.621 0.000
0.000 0.000 4.264
ATOMIC_POSITIONS crystal
Ni 0.968 0.484 0.250
Cs 0.584 0.792 0.250
Cs 0.208 0.416 0.250
Cs 0.208 0.792 0.250
Cs 0.792 0.208 0.750
Ni 0.484 0.968 0.750
Ni 0.516 0.484 0.250
Cs 0.792 0.584 0.750
Ni 0.516 0.032 0.250
Ni 0.032 0.516 0.750
Cs 0.416 0.208 0.750
Ni 0.484 0.516 0.750
```

Results
Formation enthalpy at 0 K (eV per atom): 0.599
Magnetic moment (μB/cell): 1.91
Theoretical density (g/cm³): 3.4

VASP calculation (PBE-GGA) on a relaxed CsNi crystal. Values from VASP.

```
&SYSTEM
  ibrav = 0, nat = 16, ntyp = 2
/
ATOMIC_SPECIES
Ni 58.69 Ni.upf
Cs 132.91 Cs.upf
CELL_PARAMETERS angstrom
8.131 0.000 0.000
0.000 6.720 0.000
0.000 0.000 10.545
ATOMIC_POSITIONS crystal
Ni 0.731 0.737 0.937
Ni 0.009 0.353 0.530
Cs 0.102 0.361 0.885
Cs 0.398 0.639 0.385
Cs 0.602 0.139 0.115
Ni 0.231 0.763 0.063
Cs 0.898 0.861 0.615
Cs 0.855 0.672 0.244
Ni 0.769 0.263 0.437
Ni 0.991 0.853 0.970
Ni 0.269 0.237 0.563
Cs 0.645 0.328 0.744
Ni 0.509 0.147 0.470
Cs 0.355 0.828 0.756
Cs 0.145 0.172 0.256
Ni 0.491 0.647 0.030
```

Results
Formation enthalpy at 0 K (eV per atom): 0.608
Magnetic moment (μB/cell): 3.69
Theoretical density (g/cm³): 4.4